DFT (PBE+U) results for a relaxed structure of CdCoO2.

Properties
Crystal system: orthorhombic
Energy in eV/f.u.: -19.66
Space group: Pnma (62)
Density of states at the Fermi level in states/eV/cell: 0.18

Cell and atoms, written as POSCAR:
```
CdCoO2
1.0
6.353 0.000 0.000
0.000 4.706 0.000
0.000 0.000 7.397
Cd Co O
4 4 8
direct
0.089 0.250 0.122
0.411 0.750 0.622
0.589 0.250 0.378
0.911 0.750 0.878
0.075 0.250 0.627
0.425 0.750 0.127
0.575 0.250 0.873
0.925 0.750 0.373
0.063 0.750 0.608
0.103 0.750 0.144
0.397 0.250 0.644
0.437 0.250 0.108
0.563 0.750 0.892
0.603 0.750 0.356
0.897 0.250 0.856
0.937 0.250 0.392
```